The following is a DFT calculation (GGA-PBE) of a relaxed structure of Pm3YO.

Properties
Uncorrected formation energy in eV/atom: -1.1086
Total magnetization in μB/atom: 0.000

a b c (Å): 5.067 5.067 5.067
angles (deg): 90.00 90.00 90.00
Space group Pm-3m (No. 221)
Unique sites:
1 Pm 0.000 0.000 0.500 x3
2 Y 0.500 0.500 0.500 x1
3 O 0.000 0.000 0.000 x1